VASP calculation (GGA-PBE) on an optimized crystal structure of NiPb2W.

Unit cell a=4.9416 b=4.9416 c=5.8666 alpha=73.31 beta=73.31 gamma=35.91
Fractional positions:
1 W 0.7500 0.7500 0.7500
2 Pb 0.5169 0.5169 0.4923
3 Pb 0.9831 0.9831 0.0077
4 Ni 0.2500 0.2500 0.2500

Summary:
* crystal system: monoclinic
* magnetic moment: 0.000 μB per cell
* DOS(E_F): 2.44 states/eV/f.u.
* DFT formation energy: 0.9068 eV/atom
* SG: C2/m (12)